Ru3Se: optimized geometry, PBE.

Lattice parameters (Å, degrees): 2.859 4.349 4.713 90.00 90.00 90.00
Positions (direct):
Ru 0.000 0.000 0.000
Ru 0.000 0.500 0.327
Ru 0.500 0.000 0.487
Se 0.500 0.500 0.805

Results
Formation energy without anion corrections in eV per atom: 0.3774

Pr6Si2Br3F: optimized geometry, PBE.

Lattice parameters (Å, degrees): 7.162 7.162 7.870 98.84 98.84 120.11
Positions (direct):
Pr 0.068 0.399 0.207
Pr 0.259 0.259 0.791
Pr 0.399 0.068 0.207
Pr 0.601 0.932 0.793
Pr 0.741 0.741 0.209
Pr 0.932 0.601 0.793
Si 0.335 0.665 0.000
Si 0.665 0.335 0.000
Br 0.176 0.824 0.500
Br 0.500 0.500 0.500
Br 0.824 0.176 0.500
F 0.000 0.000 0.000

Results
Formation energy without anion corrections in eV per atom: -1.2733

MgGeO3: optimized geometry, PBE.

Lattice parameters (Å, degrees): 5.557 3.021 7.987 90.00 93.45 90.00
Positions (direct):
Mg 0.170 0.250 0.127
Mg 0.830 0.750 0.873
Ge 0.318 0.250 0.719
Ge 0.682 0.750 0.281
O 0.092 0.250 0.869
O 0.269 0.750 0.598
O 0.394 0.750 0.182
O 0.606 0.250 0.818
O 0.731 0.250 0.402
O 0.908 0.750 0.131

Results
Formation energy without anion corrections in eV per atom: -2.1109

Zn3Au7: optimized geometry, PBE.

Lattice parameters (Å, degrees): 7.651 7.651 5.657 102.55 102.55 31.93
Positions (direct):
Zn 0.000 0.000 0.000
Zn 0.194 0.194 0.635
Zn 0.806 0.806 0.365
Au 0.000 0.000 0.500
Au 0.206 0.206 0.128
Au 0.381 0.381 0.644
Au 0.414 0.414 0.161
Au 0.586 0.586 0.839
Au 0.619 0.619 0.356
Au 0.794 0.794 0.872

Results
Formation enthalpy at 0 K in eV per atom: -0.143

Ac6Pt2RhCl3: optimized geometry, PBE.

Lattice parameters (Å, degrees): 10.430 10.430 9.419 108.27 108.27 24.32
Positions (direct):
Ac 0.009 0.009 0.220
Ac 0.324 0.324 0.442
Ac 0.347 0.347 0.895
Ac 0.653 0.653 0.105
Ac 0.676 0.676 0.558
Ac 0.991 0.991 0.780
Pt 0.167 0.167 0.333
Pt 0.833 0.833 0.667
Rh 0.500 0.500 0.000
Cl 0.163 0.163 0.825
Cl 0.500 0.500 0.500
Cl 0.837 0.837 0.175

Results
Formation energy without anion corrections in eV per atom: -1.3772

MnAgHg2: optimized geometry, PBE.

Lattice parameters (Å, degrees): 3.328 3.303 7.011 90.00 90.20 90.00
Positions (direct):
Mn 0.000 0.000 0.000
Ag 0.000 0.000 0.500
Hg 0.499 0.500 0.762
Hg 0.501 0.500 0.238

Results
Formation enthalpy at 0 K in eV per atom: 0.217

Er5Tm4Tl: optimized geometry, PBE.

Lattice parameters (Å, degrees): 7.799 7.799 7.799 98.87 98.87 133.76
Positions (direct):
Er 0.000 0.000 0.000
Er 0.458 0.540 0.628
Er 0.540 0.912 0.082
Er 0.830 0.458 0.918
Er 0.912 0.830 0.372
Tm 0.142 0.533 0.303
Tm 0.231 0.840 0.697
Tm 0.533 0.231 0.391
Tm 0.840 0.142 0.609
Tl 0.462 0.462 0.000

Results
Formation enthalpy at 0 K in eV per atom: 0.232

CsAg2: optimized geometry, PBE.

Lattice parameters (Å, degrees): 6.956 6.956 6.956 147.09 147.09 47.23
Positions (direct):
Cs 0.000 0.000 0.000
Ag 0.268 0.268 0.000
Ag 0.732 0.732 0.000

Results
Formation enthalpy at 0 K in eV per atom: 0.153

AlPRhO2: optimized geometry, PBE.

Lattice parameters (Å, degrees): 3.426 3.426 7.456 90.00 90.00 90.00
Positions (direct):
Al 0.000 0.000 0.000
P 0.000 0.000 0.500
Rh 0.500 0.500 0.500
O 0.000 0.500 0.000
O 0.500 0.000 0.000

Results
Formation energy without anion corrections in eV per atom: -0.8032

ZrAs2AuBr: optimized geometry, PBE.

Lattice parameters (Å, degrees): 5.020 5.020 5.055 90.00 90.00 90.00
Positions (direct):
Zr 0.000 0.000 0.000
As 0.000 0.500 0.500
As 0.500 0.000 0.500
Au 0.500 0.500 0.500
Br 0.500 0.500 0.000

Results
Formation energy without anion corrections in eV per atom: 0.6446

Li2ScHg: optimized geometry, PBE.

Lattice parameters (Å, degrees): 4.924 4.924 4.924 125.75 125.45 80.55
Positions (direct):
Li 0.000 0.000 0.000
Li 0.751 0.251 0.500
Sc 0.251 0.751 0.500
Hg 0.502 0.502 0.000

Results
Formation enthalpy at 0 K in eV per atom: -0.198

SmMgCd17: optimized geometry, PBE.

Lattice parameters (Å, degrees): 7.707 7.707 7.707 81.04 81.04 81.04
Positions (direct):
Sm 0.000 0.000 0.000
Mg 0.646 0.646 0.646
Cd 0.028 0.335 0.636
Cd 0.028 0.636 0.335
Cd 0.223 0.678 0.678
Cd 0.249 0.249 0.249
Cd 0.300 0.300 0.871
Cd 0.300 0.871 0.300
Cd 0.335 0.028 0.636
Cd 0.335 0.636 0.028
Cd 0.439 0.439 0.439
Cd 0.572 0.930 0.930
Cd 0.636 0.028 0.335
Cd 0.636 0.335 0.028
Cd 0.678 0.223 0.678
Cd 0.678 0.678 0.223
Cd 0.871 0.300 0.300
Cd 0.930 0.572 0.930
Cd 0.930 0.930 0.572

Results
Formation enthalpy at 0 K in eV per atom: -0.049

RbSb2TeF: optimized geometry, PBE.

Lattice parameters (Å, degrees): 4.988 4.988 5.705 90.00 90.00 90.00
Positions (direct):
Rb 0.000 0.000 0.000
Sb 0.000 0.500 0.500
Sb 0.500 0.000 0.500
Te 0.500 0.500 0.000
F 0.500 0.500 0.500

Results
Formation energy without anion corrections in eV per atom: -0.3577

CuPb2: optimized geometry, PBE.

Lattice parameters (Å, degrees): 4.787 4.787 3.467 90.00 90.00 90.00
Positions (direct):
Cu 0.000 0.000 0.000
Pb 0.000 0.500 0.500
Pb 0.500 0.000 0.500

Results
Formation enthalpy at 0 K in eV per atom: 0.239

YRuPb2: optimized geometry, PBE.

Lattice parameters (Å, degrees): 9.229 9.229 9.229 22.18 22.18 22.18
Positions (direct):
Y 0.000 0.000 0.000
Ru 0.500 0.500 0.500
Pb 0.237 0.237 0.237
Pb 0.763 0.763 0.763

Results
Formation enthalpy at 0 K in eV per atom: 0.166

ErGa4Ni2Ru: optimized geometry, PBE.

Lattice parameters (Å, degrees): 9.052 9.052 9.052 26.15 26.15 26.15
Positions (direct):
Er 0.000 0.000 0.000
Ga 0.130 0.130 0.130
Ga 0.401 0.401 0.401
Ga 0.599 0.599 0.599
Ga 0.870 0.870 0.870
Ni 0.234 0.234 0.234
Ni 0.766 0.766 0.766
Ru 0.500 0.500 0.500

Results
Formation enthalpy at 0 K in eV per atom: -0.438

Er3TaTl3Se8: optimized geometry, PBE.

Lattice parameters (Å, degrees): 9.192 9.192 9.192 51.81 51.81 51.81
Positions (direct):
Er 0.000 0.500 0.500
Er 0.500 0.000 0.500
Er 0.500 0.500 0.000
Ta 0.000 0.000 0.000
Tl 0.000 0.000 0.500
Tl 0.000 0.500 0.000
Tl 0.500 0.000 0.000
Se 0.221 0.221 0.753
Se 0.221 0.753 0.221
Se 0.247 0.779 0.779
Se 0.265 0.265 0.265
Se 0.735 0.735 0.735
Se 0.753 0.221 0.221
Se 0.779 0.247 0.779
Se 0.779 0.779 0.247

Results
Formation energy without anion corrections in eV per atom: -1.2067

Y6PdPt5: optimized geometry, PBE.

Lattice parameters (Å, degrees): 4.973 6.971 7.838 90.00 108.22 90.00
Positions (direct):
Y 0.000 0.247 0.000
Y 0.000 0.753 0.000
Y 0.333 0.250 0.665
Y 0.333 0.750 0.665
Y 0.667 0.250 0.335
Y 0.667 0.750 0.335
Pd 0.500 0.500 0.000
Pt 0.163 0.500 0.325
Pt 0.169 0.000 0.338
Pt 0.500 0.000 0.000
Pt 0.831 0.000 0.662
Pt 0.837 0.500 0.675

Results
Formation enthalpy at 0 K in eV per atom: -1.155

Tl2CdHAu: optimized geometry, PBE.

Lattice parameters (Å, degrees): 5.852 5.852 3.504 90.00 90.00 90.00
Positions (direct):
Tl 0.000 0.500 0.000
Tl 0.500 0.000 0.000
Cd 0.000 0.000 0.500
H 0.500 0.500 0.500
Au 0.500 0.500 0.000

Results
VASP energy in eV per atom: -2.34

LaGa3Ir: optimized geometry, PBE.

Lattice parameters (Å, degrees): 4.312 6.884 7.201 90.00 90.32 90.00
Positions (direct):
La 0.247 0.250 0.305
La 0.753 0.750 0.695
Ga 0.252 0.750 0.379
Ga 0.256 0.060 0.854
Ga 0.256 0.440 0.854
Ga 0.744 0.560 0.146
Ga 0.744 0.940 0.146
Ga 0.748 0.250 0.621
Ir 0.242 0.750 0.033
Ir 0.758 0.250 0.967

Results
Formation enthalpy at 0 K in eV per atom: -0.569

Number 1: DOS at the Fermi energy 4.376 states/eV/f.u.. Number 2: DOS at the Fermi energy 6.903 states/eV/f.u.. Number 3: DOS at the Fermi energy 0.000 states/eV/f.u.. Number 4: DOS at the Fermi energy 2.355 states/eV/f.u.. Number 5: DOS at the Fermi energy 7.854 states/eV/f.u.. Number 6: DOS at the Fermi energy 1.974 states/eV/f.u.. Number 7: DOS at the Fermi energy 13.859 states/eV/f.u.. Number 8: DOS at the Fermi energy 0.859 states/eV/f.u.. Number 9: DOS at the Fermi energy 6.997 states/eV/f.u.. Number 10: DOS at the Fermi energy 4.277 states/eV/f.u.. Number 11: DOS at the Fermi energy 3.393 states/eV/f.u.. Number 12: DOS at the Fermi energy 5.632 states/eV/f.u.. Number 13: DOS at the Fermi energy 3.619 states/eV/f.u.. Number 14: DOS at the Fermi energy 1.303 states/eV/f.u.. Number 15: DOS at the Fermi energy 3.493 states/eV/f.u.. Number 16: DOS at the Fermi energy 4.186 states/eV/f.u.. Number 17: DOS at the Fermi energy 4.149 states/eV/f.u.. Number 18: DOS at the Fermi energy 7.016 states/eV/f.u.. Number 19: DOS at the Fermi energy 2.893 states/eV/f.u.. Number 20: DOS at the Fermi energy 2.705 states/eV/f.u..